1.
DFT (PBE) results for crystalline DyTh2P3Rh4 at its relaxed geometry.

```
10
Lattice="-0.058 -0.070 4.038 -3.788 -1.400 -0.079 3.921 -10.603 -0.128" Properties=species:S:1:pos:R:3 pbc="T T T"
P 1.960 -5.301 -0.064
P 3.404 -9.320 1.907
P -1.407 -2.018 -0.055
Th 1.158 -8.953 -0.139
Th 0.839 -2.384 1.991
Rh -0.593 -4.217 -0.082
Rh 0.000 0.000 0.000
Rh 2.591 -7.120 1.934
Rh -1.923 -0.735 1.979
Dy 0.037 -6.036 1.916
```

The total moment is 0.0 Bohr magnetons per cell.

2.
DFT (PBE) results for crystalline Dy2TiP3Rh12 at its relaxed geometry.

```
18
Lattice="-2.301 -0.859 -6.189 1.795 -6.373 -0.704 -5.853 -2.724 1.632" Properties=species:S:1:pos:R:3 pbc="T T T"
Rh -4.024 -3.095 -0.106
Rh -2.334 -6.861 -5.155
Rh -5.003 -2.836 -2.948
Rh -2.774 -5.837 0.038
Rh -1.355 -7.120 -2.312
Rh -5.517 -5.134 -1.041
Rh -0.840 -4.822 -4.220
Rh -3.584 -4.119 -5.298
Rh -6.142 -5.044 -3.991
Rh -4.102 -7.790 -1.260
Rh -0.216 -4.912 -1.269
Rh -2.256 -2.167 -4.000
P -2.926 -1.362 0.816
P 0.898 -3.187 -0.352
P -1.150 -0.430 -3.094
Ti 0.000 0.000 0.000
Dy -3.974 -6.223 -3.288
Dy -2.384 -3.733 -1.972
```

The total moment is 0.0 Bohr magnetons per cell.

3.
DFT (PBE) results for crystalline Dy2TiP3Rh4 at its relaxed geometry.

```
10
Lattice="3.954 0.000 0.000 0.000 3.954 0.000 0.000 0.000 10.548" Properties=species:S:1:pos:R:3 pbc="T T T"
Dy 0.000 1.977 8.115
Dy 1.977 0.000 2.433
P 0.000 0.000 5.274
P 0.000 1.977 1.440
P 1.977 0.000 9.108
Rh 1.977 0.000 6.774
Rh 0.000 0.000 0.000
Rh 0.000 1.977 3.774
Rh 1.977 1.977 0.000
Ti 1.977 1.977 5.274
```

The total moment is 0.0 Bohr magnetons per cell.

4.
DFT (PBE) results for crystalline DyTiP2Rh5 at its relaxed geometry.

```
9
Lattice="-3.608 -1.761 -0.517 0.585 -2.186 3.356 -4.246 7.120 5.377" Properties=species:S:1:pos:R:3 pbc="T T T"
P -1.165 1.953 1.475
P -3.081 5.167 3.902
Rh -2.123 3.560 2.688
Rh -0.405 0.077 2.562
Rh -3.255 4.857 6.171
Rh -2.502 0.290 0.625
Rh -5.352 5.069 4.234
Dy -3.634 1.587 4.108
Ti 0.000 0.000 0.000
```

The total moment is 0.0 Bohr magnetons per cell.

5.
DFT (PBE) results for crystalline Dy2TmP3Rh12 at its relaxed geometry.

```
18
Lattice="6.473 -1.399 -0.992 1.980 6.319 -0.992 1.980 1.153 6.292" Properties=species:S:1:pos:R:3 pbc="T T T"
Rh 5.513 3.209 -0.669
Rh 7.606 1.923 4.017
Rh 3.097 4.582 3.250
Rh 4.920 2.864 4.976
Rh 5.428 5.664 4.017
Rh 4.920 5.643 1.058
Rh 5.513 0.430 3.250
Rh 7.606 4.427 0.486
Rh 2.827 4.150 0.290
Rh 7.336 1.491 1.058
Rh 2.827 1.646 3.821
Rh 5.005 0.409 0.290
P 0.990 0.576 3.146
P 3.236 -0.699 -0.496
P 0.990 3.160 -0.496
Dy 3.883 2.260 1.603
Dy 6.550 3.813 2.704
Tm 0.000 0.000 0.000
```

The total moment is 0.0 Bohr magnetons per cell.

6.
DFT (PBE) results for crystalline DyYP2Rh5 at its relaxed geometry.

```
9
Lattice="-1.043 3.961 0.351 -3.431 -0.713 -2.149 -4.253 -1.774 7.380" Properties=species:S:1:pos:R:3 pbc="T T T"
Rh -4.364 0.737 2.791
Rh -3.681 0.662 5.658
Rh -2.809 -0.813 0.823
Rh -1.615 1.524 2.073
Rh -4.875 -1.675 4.408
Y 0.000 0.000 0.000
P -5.898 0.097 5.453
P -2.830 1.377 0.129
Dy -2.127 -0.887 3.690
```

The total moment is 0.0 Bohr magnetons per cell.

no.,DFT formation energy (meV per atom)
1,-1090
2,-361
3,-1102
4,-514
5,-422
6,-997